No. 1
The following is a DFT calculation (PBE) of an optimized crystal structure of HfUSe4.

For the formation energy from raw total energies, the calculation gives -1.219 eV/atom.

The space group is C2/m (No. 12) and the conventional cell measures 15.108, 3.931 and 6.845 Å, with angles of 90.00, 116.55 and 90.00 degrees. The distinct sites, in fractional coordinates, are Hf at (0.000, 0.000, 0.000), U at (0.000, 0.500, 0.500), Se at (0.114, 0.500, 0.267) and Se at (0.117, 0.000, 0.799).

***

No. 2
The following is a DFT calculation (PBE) of an optimized crystal structure of VZn.

Its formation enthalpy at 0 K is 0.113 eV/atom.

The space group is I4/mmm (No. 139) and the conventional cell measures 9.060, 9.060 and 2.986 Å, with angles of 90.00, 90.00 and 90.00 degrees. The distinct sites, in fractional coordinates, are V at (0.000, 0.347, 0.000) and Zn at (0.157, 0.157, 0.500).